An optimized crystal structure of HgCO2F, computed with GGA-PBE.

Results
uncorrected formation energy = 595 meV per atom

```
data_HgCO2F
_chemical_formula_sum 'Hg1 C1 O2 F1'
_cell_length_a 3.586
_cell_length_b 3.586
_cell_length_c 3.891
_cell_angle_alpha 90.00
_cell_angle_beta 90.00
_cell_angle_gamma 90.00
_space_group_name_H-M_alt 'P 4/m m m'
_space_group_IT_number 123
_space_group_name_Hall '-P 4 2'
loop_
_atom_site_label
_atom_site_type_symbol
_atom_site_fract_x
_atom_site_fract_y
_atom_site_fract_z
_atom_site_occupancy
Hg1 Hg 0.000 0.000 0.000 1
C1 C 0.500 0.500 0.500 1
O1 O 0.000 0.500 0.500 1
F1 F 0.500 0.500 0.000 1
```

---

An optimized crystal structure of CaYGe4, computed with GGA-PBE.

Results
formation enthalpy at 0 K = -329 meV per atom

```
data_CaYGe4
_chemical_formula_sum 'Ca4 Y4 Ge16'
_cell_length_a 8.033
_cell_length_b 8.033
_cell_length_c 8.033
_cell_angle_alpha 90.00
_cell_angle_beta 90.00
_cell_angle_gamma 90.00
_space_group_name_H-M_alt 'F -4 3 m'
_space_group_IT_number 216
_space_group_name_Hall 'F -4 2 3'
loop_
_atom_site_label
_atom_site_type_symbol
_atom_site_fract_x
_atom_site_fract_y
_atom_site_fract_z
_atom_site_occupancy
Ca1 Ca 0.000 0.000 0.000 1
Y1 Y 0.250 0.250 0.750 1
Ge1 Ge 0.125 0.125 0.375 1
```

---

An optimized crystal structure of PmSm2Pt, computed with GGA-PBE.

Results
ΔE to the lowest computed polymorph = 129 meV/atom
formation enthalpy at 0 K = -520 meV per atom

```
data_PmSm2Pt
_chemical_formula_sum 'Pm1 Sm2 Pt1'
_cell_length_a 3.643
_cell_length_b 3.643
_cell_length_c 8.695
_cell_angle_alpha 90.00
_cell_angle_beta 90.00
_cell_angle_gamma 90.00
_space_group_name_H-M_alt 'P 4/m m m'
_space_group_IT_number 123
_space_group_name_Hall '-P 4 2'
loop_
_atom_site_label
_atom_site_type_symbol
_atom_site_fract_x
_atom_site_fract_y
_atom_site_fract_z
_atom_site_occupancy
Pm1 Pm 0.000 0.000 0.000 1
Sm1 Sm 0.500 0.500 0.308 1
Pt1 Pt 0.000 0.000 0.500 1
```